Below is NaSr2Tl5 after structural relaxation, with properties calculated at the PBE level.

Values from the calculation:
The calculation puts the calculated volume at 31.50 Å³ per atom. For the energy relative to the elements, the calculation gives -236 meV per atom. Its space group is I4/mmm. The calculation puts the distance to the lowest polymorph of the same formula at 19 meV/atom.

Lattice parameters (Å, degrees): 5.6822 5.6822 8.7785 108.88 108.88 90.00
Closest atoms and distances in Å follow each position.
Fractional coordinates of all 8 atoms:
Sr 0.2560 0.2560 0.5119  9 Tl 3.50-3.81
Tl 0.1134 0.6134 0.2267  3 Tl 3.35-3.54, 2 Na 3.35, 4 Sr 3.50-3.61
Tl 0.6134 0.1134 0.2267  2 Na 3.35, 3 Tl 3.35-3.54, 4 Sr 3.50-3.61
Tl 0.3866 0.8866 0.7733  2 Na 3.35, 3 Tl 3.35-3.54, 4 Sr 3.50-3.61
Na 0.0000 0.0000 0.0000  8 Tl 3.35
Tl 0.8866 0.3866 0.7733  3 Tl 3.35-3.54, 2 Na 3.35, 4 Sr 3.50-3.61
Sr 0.7440 0.7440 0.4881  9 Tl 3.50-3.81
Tl 0.5000 0.5000 0.0000  8 Tl 3.35

---

Below is SmAl4Au2 after structural relaxation, with properties calculated at the PBE level.

Values from the calculation:
The calculation puts the calculated volume at 19.19 Å³ per atom. For the energy relative to the elements, the calculation gives -521 meV per atom. Its space group is P4_2/mnm. The calculation puts the distance to the lowest polymorph of the same formula at 70 meV/atom.

Lattice parameters (Å, degrees): 4.0663 8.1279 8.1279 90.00 90.00 90.00
Closest atoms and distances in Å follow each position.
Fractional coordinates of all 14 atoms:
Au 0.0000 0.2100 0.7900  6 Al 2.59-2.67
Au 0.5000 0.2900 0.2900  6 Al 2.59-2.67
Al 0.0000 0.9172 0.6631  3 Au 2.59-2.67
Sm 0.0000 0.5000 0.5000  6 Au 3.16-3.33, 8 Al 3.48
Sm 0.5000 0.0000 0.0000  6 Au 3.16-3.33, 8 Al 3.48
Au 0.5000 0.7100 0.7100  6 Al 2.59-2.67
Al 0.5000 0.4172 0.8369  3 Au 2.59-2.67
Au 0.0000 0.7900 0.2100  6 Al 2.59-2.67
Al 0.0000 0.3369 0.0828  3 Au 2.59-2.67
Al 0.5000 0.5828 0.1631  3 Au 2.59-2.67
Al 0.5000 0.8369 0.4172  3 Au 2.59-2.67
Al 0.0000 0.6631 0.9172  3 Au 2.59-2.67
Al 0.5000 0.1631 0.5828  3 Au 2.59-2.67
Al 0.0000 0.0828 0.3369  3 Au 2.59-2.67

---

Below is MnTl2Au after structural relaxation, with properties calculated at the PBE level.

Values from the calculation:
The calculation puts the calculated volume at 23.43 Å³ per atom. For the energy relative to the elements, the calculation gives 142 meV per atom. Its space group is P4mm. The calculation puts the distance to the lowest polymorph of the same formula at 0 meV/atom.

Lattice parameters (Å, degrees): 3.3819 3.3820 8.1929 90.00 90.00 90.00
Closest atoms and distances in Å follow each position.
Fractional coordinates of all 4 atoms:
Au 0.0000 0.0000 0.5509  4 Mn 2.71
Mn 0.5000 0.5000 0.7074  4 Au 2.71
Tl 0.0000 0.0000 0.9540  4 Mn 3.13, 1 Au 3.30, 4 Tl 3.38
Tl 0.5000 0.5000 0.2876  4 Au 3.22, 4 Tl 3.38, 1 Mn 3.44

---

Below is Y5Co2Te2 after structural relaxation, with properties calculated at the PBE level.

Values from the calculation:
The calculation puts the calculated volume at 25.01 Å³ per atom. Its space group is Cmcm. As for the formation energy (no corrections): -750 meV per atom. The calculation puts the distance to the lowest polymorph of the same formula at 0 meV/atom.

Lattice parameters (Å, degrees): 7.8304 7.8304 15.0515 90.00 90.00 150.80
Closest atoms and distances in Å follow each position.
Fractional coordinates of all 18 atoms:
Y 0.0389 0.9611 0.8753  3 Co 2.84
Te 0.3832 0.6168 0.9614  8 Y 3.16-3.37
Te 0.6168 0.3832 0.0386  8 Y 3.16-3.37
Y 0.3944 0.6056 0.7500  2 Co 2.97-3.26, 2 Te 3.19
Te 0.3832 0.6168 0.5386  8 Y 3.16-3.37
Y 0.9611 0.0389 0.3753  3 Co 2.84
Y 0.2577 0.7423 0.1291  3 Co 2.85-2.93, 1 Te 3.16
Y 0.7423 0.2577 0.8709  3 Co 2.85-2.93, 1 Te 3.16
Co 0.1789 0.8211 0.7500  2 Co 2.38
Y 0.9611 0.0389 0.1247  3 Co 2.84
Y 0.2577 0.7423 0.3709  3 Co 2.85-2.93, 1 Te 3.16
Y 0.7423 0.2577 0.6291  3 Co 2.85-2.93, 1 Te 3.16
Co 0.5907 0.4093 0.7500  2 Co 2.38
Co 0.8211 0.1789 0.2500  2 Co 2.38
Co 0.4093 0.5907 0.2500  2 Co 2.38
Y 0.6056 0.3944 0.2500  2 Co 2.97-3.26, 2 Te 3.19
Y 0.0389 0.9611 0.6247  3 Co 2.84
Te 0.6168 0.3832 0.4614  8 Y 3.16-3.37

---

Below is Cs2ErPd3F12 after structural relaxation, with properties calculated at the PBE level.

Values from the calculation:
The calculation puts the calculated volume at 19.17 Å³ per atom. Its space group is R-3m. As for the formation energy (no corrections): -2228 meV per atom.

Lattice parameters (Å, degrees): 8.0157 8.0157 8.0157 57.71 57.71 57.71
Closest atoms and distances in Å follow each position.
Fractional coordinates of all 18 atoms:
F 0.9223 0.3296 0.9223  1 Er 2.16, 1 Pd 2.21
F 0.6704 0.0777 0.0777  1 Er 2.16, 1 Pd 2.21
Pd 0.0000 0.5000 0.0000  6 F 2.11-2.21
Cs 0.6194 0.6194 0.6194  6 F 3.27-3.38
Er 0.0000 0.0000 0.0000  6 F 2.16
F 0.3254 0.3254 0.9217  2 Pd 2.11
F 0.0777 0.0777 0.6704  1 Er 2.16, 1 Pd 2.21
F 0.9217 0.3254 0.3254  2 Pd 2.11
F 0.6746 0.0783 0.6746  2 Pd 2.11
Pd 0.0000 0.0000 0.5000  6 F 2.11-2.21
F 0.3254 0.9217 0.3254  2 Pd 2.11
F 0.0777 0.6704 0.0777  1 Er 2.16, 1 Pd 2.21
F 0.0783 0.6746 0.6746  2 Pd 2.11
F 0.3296 0.9223 0.9223  1 Er 2.16, 1 Pd 2.21
Cs 0.3806 0.3806 0.3806  6 F 3.27-3.38
Pd 0.5000 0.0000 0.0000  6 F 2.11-2.21
F 0.6746 0.6746 0.0783  2 Pd 2.11
F 0.9223 0.9223 0.3296  1 Er 2.16, 1 Pd 2.21

---

Below is PmErH8Ir2 after structural relaxation, with properties calculated at the PBE level.

Values from the calculation:
The calculation puts the calculated volume at 10.29 Å³ per atom. Its uncorrected energy is -4.766 eV/atom. Its space group is R-3.

Lattice parameters (Å, degrees): 4.8467 4.8467 6.6812 68.73 68.73 60.00
Closest atoms and distances in Å follow each position.
Fractional coordinates of all 12 atoms:
H 0.3705 0.8902 0.1826  1 Ir 1.67
H 0.8249 0.8249 0.5254  1 Ir 1.61
Ir 0.7364 0.7364 0.7909  4 H 1.61-1.67
H 0.5568 0.3705 0.1826  1 Ir 1.67
Pm 0.5000 0.5000 0.5000  6 H 2.31
Er 0.0000 0.0000 0.0000  6 H 2.27
H 0.8902 0.5568 0.1826  1 Ir 1.67
Ir 0.2636 0.2636 0.2091  4 H 1.61-1.67
H 0.6295 0.1098 0.8174  1 Ir 1.67
H 0.4432 0.6295 0.8174  1 Ir 1.67
H 0.1751 0.1751 0.4746  1 Ir 1.61
H 0.1098 0.4432 0.8174  1 Ir 1.67

---

Below is Ti2MnVSb after structural relaxation, with properties calculated at the PBE level.

Values from the calculation:
The calculation puts the calculated volume at 21.96 Å³ per atom. Its space group is P4/mmm. As for the formation energy (no corrections): 1496 meV per atom.

Lattice parameters (Å, degrees): 4.9238 4.5281 4.9238 90.00 90.00 90.00
Closest atoms and distances in Å follow each position.
Fractional coordinates of all 5 atoms:
Ti 0.5000 0.0000 0.0000  2 Sb 2.46
Sb 0.0000 0.0000 0.0000  2 Mn 2.26, 4 Ti 2.46
Ti 0.0000 0.0000 0.5000  2 Sb 2.46
Mn 0.0000 0.5000 0.0000  2 Sb 2.26
V 0.5000 0.5000 0.5000  8 Ti 3.34, 4 Mn 3.48

---

Below is Pr2SmNi6 after structural relaxation, with properties calculated at the PBE level.

Values from the calculation:
The calculation puts the calculated volume at 18.68 Å³ per atom. For the energy relative to the elements, the calculation gives -311 meV per atom. Its space group is P6/mmm.

Lattice parameters (Å, degrees): 3.9949 6.9714 6.9714 120.00 90.00 90.00
Closest atoms and distances in Å follow each position.
Fractional coordinates of all 9 atoms:
Pr 0.0000 0.3333 0.6667  12 Ni 3.07
Ni 0.5000 0.3322 0.0000  3 Ni 2.32-2.34
Ni 0.5000 0.0000 0.6678  3 Ni 2.32-2.34
Ni 0.5000 0.0000 0.3322  3 Ni 2.32-2.34
Ni 0.5000 0.6678 0.0000  3 Ni 2.32-2.34
Ni 0.5000 0.3322 0.3322  3 Ni 2.32-2.34
Sm 0.0000 0.0000 0.0000  12 Ni 3.06
Pr 0.0000 0.6667 0.3333  12 Ni 3.07
Ni 0.5000 0.6678 0.6678  3 Ni 2.32-2.34

---

Question: What is the formula in the eighth record?
Answer: Pr2SmNi6

---

Question: Among the records above, which one has the lowest calculated volume?
Answer: PmErH8Ir2